First-principles (GGA+U) data for an optimized crystal structure of PaMnCdO4, as listed in Alexandria.

Properties
* uncorrected energy: -7.62 eV/atom
* space-group type: No. 74

abc: 6.842 6.842 6.842
angles: 124.68 116.05 89.53
Atoms (fractional coordinates):
Pa1 0.000 0.000 0.000
Pa2 0.500 0.000 0.500
Mn1 0.500 0.000 0.000
Mn2 0.500 0.500 0.500
Cd1 0.089 0.339 0.750
Cd2 0.911 0.661 0.250
O1 0.252 0.217 0.465
O2 0.252 0.787 0.035
O3 0.264 0.217 0.046
O4 0.329 0.783 0.546
O5 0.671 0.217 0.454
O6 0.736 0.783 0.954
O7 0.748 0.213 0.965
O8 0.748 0.783 0.535